Computed, not measured: a relaxed structure of Mn3Tl3OsO8 at the PBE+U level of DFT.

Cell: 6.448 6.452 7.450 Å, 115.57 90.00 119.98°
Element x y z (fractional)
Mn: 0.500 0.000 0.500
Mn: 0.500 0.500 0.500
Mn: 0.000 0.500 0.500
O: 0.762 0.965 0.667
O: 0.289 0.579 0.367
O: 0.238 0.035 0.333
O: 0.798 0.595 0.334
O: 0.202 0.405 0.666
O: 0.711 0.421 0.633
O: 0.203 0.965 0.667
O: 0.797 0.035 0.333
Tl: 0.000 0.000 0.000
Tl: 0.000 0.500 0.000
Tl: 0.500 0.500 0.000
Os: 0.000 0.000 0.500

Computed properties:
DFT total energy = -6.493 eV/atom